## Cs2TaCu2O6 (GGA-PBE)

Data for an optimized crystal structure of Cs2TaCu2O6.

Results
For the electronic total energy, the calculation gives -68.29 eV per cell. Its crystal system is trigonal. The space group is R-3m, No. 166. For the density, the calculation gives 5.67 g cm⁻³. For the volume, the calculation gives 196 Å³/cell.

abc: 5.9567 5.9567 7.2517
angles: 65.75 65.75 60.00
Each line ends with the local moment (μB).
Atoms (fractional coordinates):
O  0.2498  0.7813  0.1876  0.26
Cu  0.3946  0.3946  0.8161  0.65
Cs  0.7869  0.7869  0.6393  0.00
Ta  0.0000  0.0000  0.0000  -0.04
Cs  0.2131  0.2131  0.3607  0.00
O  0.7813  0.7813  0.1876  0.26
O  0.7502  0.2187  0.8124  0.26
O  0.2187  0.2187  0.8124  0.26
O  0.2187  0.7502  0.8124  0.26
Cu  0.6054  0.6054  0.1839  0.65
O  0.7813  0.2498  0.1876  0.26



## Cs2TbCu2O4 (GGA-PBE)

Data for an optimized crystal structure of Cs2TbCu2O4.

Results
For the electronic total energy, the calculation gives -47.72 eV per cell. Its crystal system is monoclinic. The space group is C2/m, No. 12. For the density, the calculation gives 6.15 g cm⁻³. For the volume, the calculation gives 166 Å³/cell.

abc: 3.5753 6.8145 7.3571
angles: 106.33 104.06 90.00
Each line ends with the local moment (μB).
Atoms (fractional coordinates):
Cu  0.6678  0.0358  0.3356  0.30
Cu  0.3322  0.9642  0.6644  0.30
Cs  0.1337  0.5666  0.2675  0.00
Tb  0.0000  0.0000  0.0000  -0.02
O  0.8238  0.8647  0.6476  0.12
O  0.5310  0.8079  0.0620  0.07
O  0.1762  0.1353  0.3524  0.12
O  0.4690  0.1921  0.9380  0.07
Cs  0.8663  0.4334  0.7325  0.00